Computed, not measured: a relaxed structure of Ba3Sr2Cd2 at the PBE-GGA level of DFT.

Formation energy = -160 meV/atom
Space group = P-1, No. 2

a = 4.5208 Å, b = 8.0036 Å, c = 10.4093 Å
α = 70.09°, β = 77.52°, γ = 73.63°
Element x y z (fractional)
1 Ba 0.0000 0.0000 0.0000
2 Ba 0.1162 0.2049 0.5619
3 Ba 0.8838 0.7951 0.4381
4 Sr 0.3367 0.5014 0.8245
5 Sr 0.6633 0.4986 0.1755
6 Cd 0.3202 0.1400 0.2208
7 Cd 0.6798 0.8600 0.7792

***

Computed, not measured: a relaxed structure of BaSr2Cd at the PBE-GGA level of DFT.

Formation energy = -156 meV/atom
Space group = Pmmm, No. 47

a = 4.1382 Å, b = 4.1614 Å, c = 10.7296 Å
α = 90.00°, β = 90.00°, γ = 90.00°
Element x y z (fractional)
1 Ba 0.0000 0.0000 0.0000
2 Sr 0.5000 0.5000 0.3170
3 Sr 0.5000 0.5000 0.6830
4 Cd 0.0000 0.0000 0.5000

***

Computed, not measured: a relaxed structure of BaSrCd10 at the PBE-GGA level of DFT.

Formation energy = -219 meV/atom
Space group = Pmmm, No. 47

a = 4.9180 Å, b = 6.1293 Å, c = 10.5924 Å
α = 90.00°, β = 90.00°, γ = 90.00°
Element x y z (fractional)
1 Ba 0.0000 0.0000 0.0000
2 Sr 0.0000 0.5000 0.5000
3 Cd 0.0000 0.0000 0.3385
4 Cd 0.0000 0.0000 0.6615
5 Cd 0.0000 0.5000 0.1712
6 Cd 0.0000 0.5000 0.8288
7 Cd 0.5000 0.0000 0.5000
8 Cd 0.5000 0.2513 0.2524
9 Cd 0.5000 0.2513 0.7476
10 Cd 0.5000 0.5000 0.0000
11 Cd 0.5000 0.7487 0.2524
12 Cd 0.5000 0.7487 0.7476

***

Computed, not measured: a relaxed structure of Ba2SrCd9 at the PBE-GGA level of DFT.

Formation energy = -252 meV/atom
Space group = R-3m, No. 166

a = 10.7017 Å, b = 10.7017 Å, c = 10.7017 Å
α = 34.20°, β = 34.20°, γ = 34.20°
Element x y z (fractional)
1 Ba 0.1427 0.1427 0.1427
2 Ba 0.8573 0.8573 0.8573
3 Sr 0.0000 0.0000 0.0000
4 Cd 0.0763 0.5837 0.5837
5 Cd 0.3352 0.3352 0.3352
6 Cd 0.4163 0.4163 0.9237
7 Cd 0.4163 0.9237 0.4163
8 Cd 0.5000 0.5000 0.5000
9 Cd 0.5837 0.0763 0.5837
10 Cd 0.5837 0.5837 0.0763
11 Cd 0.6648 0.6648 0.6648
12 Cd 0.9237 0.4163 0.4163

***

Computed, not measured: a relaxed structure of BaSrCd at the PBE-GGA level of DFT.

Formation energy = -113 meV/atom
Space group = F-43m, No. 216
E above lowest polymorph = 115 meV/atom

a = 8.2927 Å, b = 8.2927 Å, c = 8.2927 Å
α = 90.00°, β = 90.00°, γ = 90.00°
Element x y z (fractional)
1 Ba 0.0000 0.0000 0.0000
2 Ba 0.0000 0.5000 0.5000
3 Ba 0.5000 0.0000 0.5000
4 Ba 0.5000 0.5000 0.0000
5 Sr 0.0000 0.0000 0.5000
6 Sr 0.0000 0.5000 0.0000
7 Sr 0.5000 0.0000 0.0000
8 Sr 0.5000 0.5000 0.5000
9 Cd 0.2500 0.2500 0.2500
10 Cd 0.2500 0.7500 0.7500
11 Cd 0.7500 0.2500 0.7500
12 Cd 0.7500 0.7500 0.2500

***

Computed, not measured: a relaxed structure of Ba2Sr2Cd at the PBE-GGA level of DFT.

Formation energy = 172 meV/atom
Space group = I4/mmm, No. 139
E above lowest polymorph = 304 meV/atom

a = 4.9343 Å, b = 4.9343 Å, c = 22.2527 Å
α = 90.00°, β = 90.00°, γ = 90.00°
Element x y z (fractional)
1 Ba 0.0000 0.0000 0.0867
2 Ba 0.0000 0.0000 0.9133
3 Ba 0.5000 0.5000 0.4133
4 Ba 0.5000 0.5000 0.5867
5 Sr 0.0000 0.5000 0.2500
6 Sr 0.0000 0.5000 0.7500
7 Sr 0.5000 0.0000 0.2500
8 Sr 0.5000 0.0000 0.7500
9 Cd 0.0000 0.0000 0.5000
10 Cd 0.5000 0.5000 0.0000

***

Please write out number 5 again, unchanged.
Computed, not measured: a relaxed structure of BaSrCd at the PBE-GGA level of DFT.

Formation energy = -113 meV/atom
Space group = F-43m, No. 216
E above lowest polymorph = 115 meV/atom

a = 8.2927 Å, b = 8.2927 Å, c = 8.2927 Å
α = 90.00°, β = 90.00°, γ = 90.00°
Element x y z (fractional)
1 Ba 0.0000 0.0000 0.0000
2 Ba 0.0000 0.5000 0.5000
3 Ba 0.5000 0.0000 0.5000
4 Ba 0.5000 0.5000 0.0000
5 Sr 0.0000 0.0000 0.5000
6 Sr 0.0000 0.5000 0.0000
7 Sr 0.5000 0.0000 0.0000
8 Sr 0.5000 0.5000 0.5000
9 Cd 0.2500 0.2500 0.2500
10 Cd 0.2500 0.7500 0.7500
11 Cd 0.7500 0.2500 0.7500
12 Cd 0.7500 0.7500 0.2500